No. 1
# La3HfS (PBE, relaxed)
data_La3HfS
_chemical_formula_sum 'La3 Hf1 S1'
_symmetry_space_group_name_H-M 'P m -3 m'
_symmetry_Int_Tables_number 221
_symmetry_space_group_name_Hall '-P 4 2 3'
_cell_length_a 5.654
_cell_length_b 5.654
_cell_length_c 5.654
_cell_angle_alpha 90.00
_cell_angle_beta 90.00
_cell_angle_gamma 90.00
loop_
_atom_site_label
_atom_site_type_symbol
_atom_site_fract_x
_atom_site_fract_y
_atom_site_fract_z
La1 La 0.000 0.000 0.500
Hf1 Hf 0.000 0.000 0.000
S1 S 0.500 0.500 0.500
# **Magnetization**: 0.00 Bohr magnetons per cell
# **Crystal system**: cubic
# **E_tot**: -26.97 eV per formula unit
# **E_form (uncorrected)**: 377.9 meV per atom
# **Calculated volume**: 36.15 A^3/atom

---

No. 2
# La5Hf2S12 (PBE, relaxed)
data_La5Hf2S12
_chemical_formula_sum 'La10 Hf4 S24'
_symmetry_space_group_name_H-M 'C 1 2/m 1'
_symmetry_Int_Tables_number 12
_cell_length_a 15.921
_cell_length_b 7.257
_cell_length_c 9.143
_cell_angle_alpha 90.00
_cell_angle_beta 107.20
_cell_angle_gamma 90.00
loop_
_symmetry_equiv_pos_as_xyz
'x,y,z'
'-x,-y,-z'
'-x,y,-z'
'x,-y,z'
'x+1/2,y+1/2,z'
'-x+1/2,-y+1/2,-z'
'-x+1/2,y+1/2,-z'
'x+1/2,-y+1/2,z'
loop_
_atom_site_label
_atom_site_type_symbol
_atom_site_fract_x
_atom_site_fract_y
_atom_site_fract_z
La1 La 0.000 0.000 0.000
La2 La 0.188 0.500 0.335
La3 La 0.200 0.500 0.856
Hf1 Hf 0.000 0.251 0.500
S1 S 0.001 0.000 0.312
S2 S 0.003 0.500 0.700
S3 S 0.150 0.250 0.071
S4 S 0.166 0.257 0.584
# **Magnetization**: 0.00 Bohr magnetons per cell
# **Crystal system**: monoclinic
# **E_tot**: -130.47 eV per formula unit
# **E_form (uncorrected)**: -1915.5 meV per atom
# **Calculated volume**: 26.56 A^3/atom

---

No. 3
# La3HfS6 (PBE, relaxed)
data_La3HfS6
_chemical_formula_sum 'La18 Hf6 S36'
_symmetry_space_group_name_H-M 'R -3'
_symmetry_Int_Tables_number 148
_symmetry_space_group_name_Hall '-R 3'
_cell_length_a 12.2221
_cell_length_b 12.2221
_cell_length_c 12.0183
_cell_angle_alpha 90.00
_cell_angle_beta 90.00
_cell_angle_gamma 120.00
loop_
_atom_site_label
_atom_site_type_symbol
_atom_site_fract_x
_atom_site_fract_y
_atom_site_fract_z
La1 La 0.0492 0.2791 0.1593
Hf1 Hf 0.0000 0.0000 0.0000
Hf2 Hf 0.0000 0.0000 0.5000
S1 S 0.0314 0.1996 0.8976
S2 S 0.0489 0.1963 0.3869
# **Magnetization**: 0.00 Bohr magnetons per cell
# **Crystal system**: trigonal
# **E_tot**: -69.57 eV per formula unit
# **E_form (uncorrected)**: -2006.6 meV per atom
# **Calculated volume**: 25.91 A^3/atom